# 1
Below is a geometry-optimized PrAlGe2 structure, with properties calculated at the PBE level.

a b c (Å): 4.1400 4.1400 10.3009
angles (deg): 90.00 90.00 90.00
Last column: nearest neighbours and their distance in Å.
Element x y z (fractional)
Pr1 0.0000 0.0000 0.0000  8 Ge 3.07-3.43, 4 Al 3.18-3.43
Pr2 0.0000 0.0000 0.5000  8 Ge 3.07-3.43, 4 Al 3.18-3.43
Al1 0.0000 0.5000 0.2654  6 Ge 2.74-2.93
Al2 0.5000 0.0000 0.7654  6 Ge 2.74-2.93
Ge1 0.0000 0.5000 0.7659  2 Ge 2.74, 4 Al 2.93
Ge2 0.5000 0.0000 0.2659  2 Ge 2.74, 4 Al 2.93
Ge3 0.5000 0.5000 0.0912  2 Al 2.74, 2 Ge 2.74
Ge4 0.5000 0.5000 0.5912  2 Al 2.74, 2 Ge 2.74

Space-group type   P4_2mc (105)
N(E_F)   0.11 states/eV per atom

=====

# 2
Below is a geometry-optimized Pr3Al2Ge3 structure, with properties calculated at the PBE level.

a b c (Å): 6.1796 6.1796 15.0040
angles (deg): 90.00 90.00 139.47
Last column: nearest neighbours and their distance in Å.
Element x y z (fractional)
Pr1 0.0627 0.9373 0.6125  6 Ge 3.11-3.24, 3 Al 3.27-3.34
Pr2 0.0627 0.9373 0.8875  6 Ge 3.11-3.24, 3 Al 3.27-3.34
Pr3 0.3554 0.6446 0.7500  5 Ge 3.13-3.32, 4 Al 3.22
Pr4 0.6446 0.3554 0.2500  5 Ge 3.13-3.32, 4 Al 3.22
Pr5 0.9373 0.0627 0.1125  6 Ge 3.11-3.24, 3 Al 3.27-3.34
Pr6 0.9373 0.0627 0.3875  6 Ge 3.11-3.24, 3 Al 3.27-3.34
Al1 0.2250 0.7750 0.1024  4 Ge 2.60-2.78
Al2 0.2250 0.7750 0.3976  4 Ge 2.60-2.78
Al3 0.7750 0.2250 0.6024  4 Ge 2.60-2.78
Al4 0.7750 0.2250 0.8976  4 Ge 2.60-2.78
Ge1 0.3584 0.6416 0.2500  2 Al 2.70
Ge2 0.3748 0.6252 0.5421  3 Al 2.60-2.78
Ge3 0.3748 0.6252 0.9579  3 Al 2.60-2.78
Ge4 0.6252 0.3748 0.0421  3 Al 2.60-2.78
Ge5 0.6252 0.3748 0.4579  3 Al 2.60-2.78
Ge6 0.6416 0.3584 0.7500  2 Al 2.70

Space-group type   Cmcm (63)
N(E_F)   0.76 states/eV per atom

=====

# 3
Below is a geometry-optimized PrAl3Ge structure, with properties calculated at the PBE level.

a b c (Å): 11.6403 11.6403 4.4320
angles (deg): 95.56 95.56 20.46
Last column: nearest neighbours and their distance in Å.
Element x y z (fractional)
Pr1 0.0852 0.0852 0.2910  4 Ge 3.21-3.29, 9 Al 3.25-3.52
Pr2 0.9148 0.9148 0.7090  4 Ge 3.21-3.29, 9 Al 3.25-3.52
Al1 0.2084 0.2084 0.9842  2 Ge 2.69, 5 Al 2.71-2.82
Al2 0.2905 0.2905 0.5822  1 Ge 2.60, 5 Al 2.71-2.82
Al3 0.4735 0.4735 0.2360  1 Ge 2.50, 2 Al 2.52-2.53
Al4 0.5265 0.5265 0.7640  1 Ge 2.50, 2 Al 2.52-2.53
Al5 0.7095 0.7095 0.4178  1 Ge 2.60, 5 Al 2.71-2.82
Al6 0.7916 0.7916 0.0158  2 Ge 2.69, 5 Al 2.71-2.82
Ge1 0.3636 0.3636 0.1695  4 Al 2.50-2.69
Ge2 0.6364 0.6364 0.8305  4 Al 2.50-2.69

Space-group type   C2/m (12)
N(E_F)   0.37 states/eV per atom

=====

Theoretical density for the records above, in order: 5.89 6.20 4.68 g cm⁻³
Energy of formation for the records above, in order: -0.43 -0.66 -0.32 eV per atom
Volume for the records above, in order: 176.56 372.35 208.91 Å³/cell